TlSN: relaxed, PBE.

Summary:
**Density**: 4.7 Mg/m³
**Formation energy (no corrections)**: 2.13 eV/f.u.
**Crystal system**: trigonal
**M_tot**: 2.53 μB/cell

Cell lengths 7.9160, 7.9160, 7.9160 Å; angles 38.80, 38.80, 38.80 degrees
Last column: nearest neighbours and their distance in Å.
Positions (direct):
1 Tl 0.0727 0.0727 0.0727  3 S 3.04, 1 Tl 3.19, 3 N 3.33
2 Tl 0.9273 0.9273 0.9273  3 S 3.04, 1 Tl 3.19, 3 N 3.33
3 S 0.2514 0.2514 0.2514  1 N 1.56
4 S 0.7486 0.7486 0.7486  1 N 1.56
5 N 0.3227 0.3227 0.3227  1 S 1.56
6 N 0.6773 0.6773 0.6773  1 S 1.56